Entry 1:
Density functional theory data (PBE) for an optimized crystal structure of Ho2Pd2Au.

Calculated values
- Fermi-level density of states (states/eV per atom) = 0.4038
- formation enthalpy at 0 K (eV per atom) = -0.906

a b c (Å): 7.5740 7.5740 3.6780
angles (deg): 90.00 90.00 90.00
Closest atoms and distances in Å follow each position.
Positions (direct):
Ho (0.1738, 0.3262, 0.0000)  6 Pd 2.80-2.96
Ho (0.3262, 0.8262, 0.0000)  6 Pd 2.80-2.96
Ho (0.6738, 0.1738, 0.0000)  6 Pd 2.80-2.96
Ho (0.8262, 0.6738, 0.0000)  6 Pd 2.80-2.96
Pd (0.1293, 0.6293, 0.5000)  1 Pd 2.77, 6 Ho 2.80-2.96, 2 Au 2.97
Pd (0.3707, 0.1293, 0.5000)  1 Pd 2.77, 6 Ho 2.80-2.96, 2 Au 2.97
Pd (0.6293, 0.8707, 0.5000)  1 Pd 2.77, 6 Ho 2.80-2.96, 2 Au 2.97
Pd (0.8707, 0.3707, 0.5000)  1 Pd 2.77, 6 Ho 2.80-2.96, 2 Au 2.97
Au (0.0000, 0.0000, 0.5000)  4 Pd 2.97
Au (0.5000, 0.5000, 0.5000)  4 Pd 2.97


Entry 2:
Density functional theory data (PBE) for an optimized crystal structure of NdPu2Si.

Calculated values
- Fermi-level density of states (states/eV per atom) = 3.2006
- energy above the most stable polymorph in this dataset (kJ per mole of atoms) = 29.0
- formation energy (no corrections) (eV/atom) = 0.12

a b c (Å): 7.3101 7.3101 7.3101
angles (deg): 90.00 90.00 90.00
Closest atoms and distances in Å follow each position.
Positions (direct):
Nd (0.0000, 0.0000, 0.0000)  8 Pu 3.17
Nd (0.0000, 0.5000, 0.5000)  8 Pu 3.17
Nd (0.5000, 0.0000, 0.5000)  8 Pu 3.17
Nd (0.5000, 0.5000, 0.0000)  8 Pu 3.17
Pu (0.2500, 0.2500, 0.2500)  4 Nd 3.17, 4 Si 3.17
Pu (0.2500, 0.2500, 0.7500)  4 Nd 3.17, 4 Si 3.17
Pu (0.2500, 0.7500, 0.2500)  4 Nd 3.17, 4 Si 3.17
Pu (0.2500, 0.7500, 0.7500)  4 Nd 3.17, 4 Si 3.17
Pu (0.7500, 0.2500, 0.2500)  4 Nd 3.17, 4 Si 3.17
Pu (0.7500, 0.2500, 0.7500)  4 Nd 3.17, 4 Si 3.17
Pu (0.7500, 0.7500, 0.2500)  4 Nd 3.17, 4 Si 3.17
Pu (0.7500, 0.7500, 0.7500)  4 Si 3.17, 4 Nd 3.17
Si (0.0000, 0.0000, 0.5000)  8 Pu 3.17
Si (0.0000, 0.5000, 0.0000)  8 Pu 3.17
Si (0.5000, 0.0000, 0.0000)  8 Pu 3.17
Si (0.5000, 0.5000, 0.5000)  8 Pu 3.17